Material: HfBeCr2Cu
Method: DFT, GGA-PBE
State: relaxed

a b c (Å): 4.064 4.064 4.515
angles (deg): 90.00 90.00 90.00
Each line ends with the local moment (μB).
Fractional coordinates of all 5 atoms:
Cu 0.500 0.500 0.500  0.00
Hf 0.000 0.000 0.500  -0.24
Cr 0.500 0.000 0.000  1.70
Cr 0.000 0.500 0.000  1.70
Be 0.000 0.000 0.000  -0.07

Properties
Space group: P4/mmm
ΔE_f (eV/f.u.): 3.80

Material: Nd6Zn5
Method: DFT, GGA-PBE
State: relaxed

a b c (Å): 5.162 7.367 8.944
angles (deg): 114.32 106.77 90.00
Fractional coordinates of all 11 atoms:
Zn 0.000 0.500 0.000
Zn 0.668 0.668 0.336
Zn 0.332 0.332 0.664
Zn 0.327 0.827 0.654
Zn 0.673 0.173 0.346
Nd 0.836 0.084 0.672
Nd 0.164 0.916 0.328
Nd 0.500 0.751 0.000
Nd 0.836 0.588 0.672
Nd 0.500 0.249 0.000
Nd 0.164 0.412 0.328

Properties
Space group: Immm
ΔE_f (eV/f.u.): -2.55

Material: CeB6C2
Method: DFT, GGA-PBE
State: relaxed

a b c (Å): 4.052 5.622 5.622
angles (deg): 68.08 89.76 89.76
Each line ends with the local moment (μB).
Fractional coordinates of all 9 atoms:
Ce 0.000 0.000 0.000  0.33
C 0.502 0.829 0.829  0.00
C 0.498 0.171 0.171  0.00
B 0.501 0.074 0.617  0.00
B 0.501 0.617 0.074  0.00
B 0.499 0.383 0.926  0.00
B 0.500 0.632 0.368  0.00
B 0.499 0.926 0.383  0.00
B 0.500 0.368 0.632  0.00

Properties
Space group: C2/m
ΔE_f (eV/f.u.): 3.34

Material: PrMg3Ga3
Method: DFT, GGA-PBE
State: relaxed

a b c (Å): 4.455 9.632 7.924
angles (deg): 113.52 90.00 90.00
Fractional coordinates of all 14 atoms:
Mg 0.250 0.254 0.980
Mg 0.250 0.033 0.212
Mg 0.750 0.967 0.788
Mg 0.750 0.252 0.239
Mg 0.250 0.748 0.761
Mg 0.750 0.746 0.020
Ga 0.750 0.476 0.095
Ga 0.750 0.582 0.506
Ga 0.750 0.959 0.387
Ga 0.250 0.524 0.905
Ga 0.250 0.418 0.494
Ga 0.250 0.041 0.613
Pr 0.750 0.294 0.670
Pr 0.250 0.706 0.330

Properties
Space group: P2_1/m
ΔE to the lowest computed polymorph (meV/atom): 0
ΔE_f (eV/f.u.): -1.85

Material: Li3Ac2NpF12
Method: DFT, GGA-PBE
State: relaxed

a b c (Å): 7.076 7.076 7.076
angles (deg): 58.39 58.39 58.39
Each line ends with the local moment (μB).
Fractional coordinates of all 18 atoms:
F 0.841 0.841 0.434  0.00
F 0.267 0.267 0.838  0.00
F 0.267 0.838 0.267  0.00
F 0.159 0.566 0.159  0.00
F 0.434 0.841 0.841  0.00
F 0.159 0.159 0.566  0.00
F 0.841 0.434 0.841  0.00
F 0.162 0.733 0.733  0.00
F 0.566 0.159 0.159  0.00
F 0.733 0.162 0.733  0.00
F 0.838 0.267 0.267  0.00
F 0.733 0.733 0.162  0.00
Li 0.000 0.500 0.000  0.00
Li 0.000 0.000 0.500  0.00
Li 0.500 0.000 0.000  0.00
Ac 0.606 0.606 0.606  0.00
Ac 0.394 0.394 0.394  0.00
Np 0.000 0.000 0.000  3.97

Properties
Energy relative to the elements, uncorrected (eV/atom): -3.48
Space group: R-3m

Material: K3DyU2O9
Method: DFT, GGA-PBE
State: relaxed

a b c (Å): 6.110 6.110 7.481
angles (deg): 90.00 90.00 120.00
Fractional coordinates of all 15 atoms:
O 0.349 0.175 0.677
O 0.175 0.349 0.323
O 0.825 0.175 0.677
O 0.175 0.825 0.323
O 0.000 0.500 0.000
O 0.651 0.825 0.323
O 0.825 0.651 0.677
O 0.500 0.000 0.000
O 0.500 0.500 0.000
K 0.333 0.667 0.661
K 0.000 0.000 0.000
K 0.667 0.333 0.339
U 0.333 0.667 0.168
U 0.667 0.333 0.832
Dy 0.000 0.000 0.500

Properties
Energy relative to the elements, uncorrected (eV/atom): -2.90
Space group: P-3m1

Material: Nd2LuI
Method: DFT, GGA-PBE
State: relaxed

a b c (Å): 3.636 3.636 12.017
angles (deg): 81.30 81.30 60.00
Fractional coordinates of all 4 atoms:
Nd 0.906 0.906 0.282
Nd 0.094 0.094 0.718
I 0.500 0.500 0.500
Lu 0.000 0.000 0.000

Properties
Energy relative to the elements, uncorrected (eV/atom): -0.10
Space group: R-3m
ΔE to the lowest computed polymorph (meV/atom): 236

Material: BeRhCl2
Method: DFT, GGA-PBE
State: relaxed

a b c (Å): 5.442 5.442 6.041
angles (deg): 63.23 63.23 90.00
Each line ends with the local moment (μB).
Fractional coordinates of all 8 atoms:
Be 0.250 0.750 0.500  0.00
Be 0.500 0.500 0.000  0.00
Rh 0.000 0.000 0.000  0.91
Rh 0.750 0.250 0.500  0.90
Cl 0.556 0.125 0.250  0.04
Cl 0.875 0.806 0.750  0.04
Cl 0.375 0.444 0.750  0.04
Cl 0.194 0.625 0.250  0.04

Properties
Energy relative to the elements, uncorrected (eV/atom): -0.05
Space group: I-42d
ΔE to the lowest computed polymorph (meV/atom): 337

Material: SrAg2Te
Method: DFT, GGA-PBE
State: relaxed

a b c (Å): 4.993 4.223 5.599
angles (deg): 90.08 90.00 90.00
Fractional coordinates of all 4 atoms:
Ag 0.000 0.750 0.489
Ag 0.000 0.750 0.011
Sr 0.500 0.250 0.250
Te 0.500 0.750 0.750

Properties
Energy relative to the elements, uncorrected (eV/atom): -0.50
Space group: P2/m
ΔE to the lowest computed polymorph (meV/atom): 0

Material: PrAlPb2
Method: DFT, GGA-PBE
State: relaxed

a b c (Å): 4.837 4.763 4.763
angles (deg): 90.00 90.00 90.00
Fractional coordinates of all 4 atoms:
Pb 0.000 0.000 0.500
Pb 0.000 0.500 0.000
Pr 0.500 0.500 0.500
Al 0.500 0.000 0.000

Properties
Space group: P4/mmm
ΔE to the lowest computed polymorph (meV/atom): 0
ΔE_f (eV/f.u.): -1.18

Material: LiCa2Bi
Method: DFT, GGA-PBE
State: relaxed

a b c (Å): 4.092 4.092 7.408
angles (deg): 90.00 90.00 90.00
Fractional coordinates of all 4 atoms:
Bi 0.500 0.500 0.500
Li 0.500 0.500 0.000
Ca 0.000 0.000 0.737
Ca 0.000 0.000 0.263

Properties
Space group: P4/mmm
ΔE_f (eV/f.u.): -1.71

Material: K2AcHoO4
Method: DFT, GGA-PBE
State: relaxed

a b c (Å): 3.658 6.376 6.658
angles (deg): 108.64 90.00 90.00
Fractional coordinates of all 8 atoms:
Ho 0.500 0.500 0.000
Ac 0.000 0.000 0.000
K 0.500 0.000 0.500
K 0.000 0.500 0.500
O 0.500 0.746 0.809
O 0.000 0.713 0.187
O 0.000 0.287 0.813
O 0.500 0.254 0.191

Properties
Energy relative to the elements, uncorrected (eV/atom): -2.63
Space group: P2/m

Number 1: calculated volume 14.9 Å³ per atom. Number 2: calculated volume 26.7 Å³ per atom. Number 3: calculated volume 13.2 Å³ per atom. Number 4: calculated volume 22.3 Å³ per atom. Number 5: calculated volume 13.4 Å³ per atom. Number 6: calculated volume 16.1 Å³ per atom. Number 7: calculated volume 33.9 Å³ per atom. Number 8: calculated volume 17.2 Å³ per atom. Number 9: calculated volume 29.5 Å³ per atom. Number 10: calculated volume 27.4 Å³ per atom. Number 11: calculated volume 31.0 Å³ per atom. Number 12: calculated volume 18.4 Å³ per atom.